Model w:
Entry from Alexandria via LeMat-Bulk: a relaxed ScGaF2 crystal (PBE).

CIF file:
```
data_ScGaF2
_chemical_formula_sum 'Sc1 Ga1 F2'
_cell_length_a 4.3421
_cell_length_b 4.3421
_cell_length_c 4.3421
_cell_angle_alpha 60.00
_cell_angle_beta 60.00
_cell_angle_gamma 60.00
_symmetry_space_group_name_H-M 'P 1'
_symmetry_Int_Tables_number 1
_symmetry_space_group_name_Hall 'P 1'
loop_
_atom_site_label
_atom_site_type_symbol
_atom_site_fract_x
_atom_site_fract_y
_atom_site_fract_z
Ga1 Ga 0.5000 0.5000 0.5000
Sc1 Sc 0.0000 0.0000 0.0000
F1 F 0.2500 0.2500 0.2500
F2 F 0.7500 0.7500 0.7500
```

Calculated values
The value obtained for the total moment is 1.829 μB/f.u. Its symmetry is Fm-3m.


Model x:
Entry from Alexandria via LeMat-Bulk: a relaxed ScGaF2 crystal (PBE).

CIF file:
```
data_ScGaF2
_chemical_formula_sum 'Sc1 Ga1 F2'
_cell_length_a 9.4921
_cell_length_b 9.4921
_cell_length_c 9.4921
_cell_angle_alpha 18.63
_cell_angle_beta 18.63
_cell_angle_gamma 18.63
_symmetry_space_group_name_H-M 'P 1'
_symmetry_Int_Tables_number 1
_symmetry_space_group_name_Hall 'P 1'
loop_
_atom_site_label
_atom_site_type_symbol
_atom_site_fract_x
_atom_site_fract_y
_atom_site_fract_z
Ga1 Ga 0.0000 0.0000 0.0000
Sc1 Sc 0.5000 0.5000 0.5000
F1 F 0.1225 0.1225 0.1225
F2 F 0.8775 0.8775 0.8775
```

Calculated values
The value obtained for the total moment is 0.000 μB/f.u. Its symmetry is R-3m.


Model y:
Entry from Alexandria via LeMat-Bulk: a relaxed ScGaF2 crystal (PBE).

CIF file:
```
data_ScGaF2
_chemical_formula_sum 'Sc2 Ga2 F4'
_cell_length_a 5.2538
_cell_length_b 5.2538
_cell_length_c 7.0309
_cell_angle_alpha 68.06
_cell_angle_beta 68.06
_cell_angle_gamma 90.00
_symmetry_space_group_name_H-M 'P 1'
_symmetry_Int_Tables_number 1
_symmetry_space_group_name_Hall 'P 1'
loop_
_atom_site_label
_atom_site_type_symbol
_atom_site_fract_x
_atom_site_fract_y
_atom_site_fract_z
Sc1 Sc 0.2500 0.7500 0.5000
Sc2 Sc 0.5000 0.5000 0.0000
F1 F 0.4191 0.1250 0.2500
F2 F 0.3309 0.6250 0.2500
F3 F 0.8750 0.6691 0.7500
F4 F 0.3750 0.5809 0.7500
Ga1 Ga 0.7500 0.2500 0.5000
Ga2 Ga 0.0000 0.0000 0.0000
```

Calculated values
The value obtained for the total moment is 0.000 μB/f.u. Its symmetry is I-42d.


Model z:
Entry from Alexandria via LeMat-Bulk: a relaxed ScGaF2 crystal (PBE).

CIF file:
```
data_ScGaF2
_chemical_formula_sum 'Sc1 Ga1 F2'
_cell_length_a 7.9549
_cell_length_b 7.9549
_cell_length_c 7.9549
_cell_angle_alpha 24.25
_cell_angle_beta 24.25
_cell_angle_gamma 24.25
_symmetry_space_group_name_H-M 'P 1'
_symmetry_Int_Tables_number 1
_symmetry_space_group_name_Hall 'P 1'
loop_
_atom_site_label
_atom_site_type_symbol
_atom_site_fract_x
_atom_site_fract_y
_atom_site_fract_z
Ga1 Ga 0.5000 0.5000 0.5000
F1 F 0.9142 0.9142 0.9142
F2 F 0.0858 0.0858 0.0858
Sc1 Sc 0.0000 0.0000 0.0000
```

Calculated values
The value obtained for the total moment is 0.000 μB/f.u. Its symmetry is R-3m.


How far above the most stable structure does each one sit? In kJ/mol of atoms: model w 60.3; model x 0.0; model y 9.9; model z 28.8.


Model w:
Entry from Alexandria via LeMat-Bulk: a relaxed GaSeF3 crystal (PBE).

CIF file:
```
data_GaSeF3
_chemical_formula_sum 'Ga1 Se1 F3'
_cell_length_a 4.4764
_cell_length_b 4.4764
_cell_length_c 4.4764
_cell_angle_alpha 90.00
_cell_angle_beta 90.00
_cell_angle_gamma 90.00
_symmetry_space_group_name_H-M 'P 1'
_symmetry_Int_Tables_number 1
_symmetry_space_group_name_Hall 'P 1'
loop_
_atom_site_label
_atom_site_type_symbol
_atom_site_fract_x
_atom_site_fract_y
_atom_site_fract_z
F1 F 0.0000 0.5000 0.0000
F2 F 0.0000 0.0000 0.5000
F3 F 0.5000 0.0000 0.0000
Ga1 Ga 0.5000 0.5000 0.5000
Se1 Se 0.0000 0.0000 0.0000
```

Calculated values
The value obtained for the total moment is 0.000 μB/f.u. Its symmetry is Pm-3m.


Model x:
Entry from Alexandria via LeMat-Bulk: a relaxed GaSeF3 crystal (PBE).

CIF file:
```
data_GaSeF3
_chemical_formula_sum 'Ga1 Se1 F3'
_cell_length_a 4.1326
_cell_length_b 4.1326
_cell_length_c 4.1326
_cell_angle_alpha 90.00
_cell_angle_beta 90.00
_cell_angle_gamma 90.00
_symmetry_space_group_name_H-M 'P 1'
_symmetry_Int_Tables_number 1
_symmetry_space_group_name_Hall 'P 1'
loop_
_atom_site_label
_atom_site_type_symbol
_atom_site_fract_x
_atom_site_fract_y
_atom_site_fract_z
F1 F 0.0000 0.5000 0.0000
F2 F 0.5000 0.0000 0.0000
F3 F 0.0000 0.0000 0.5000
Se1 Se 0.5000 0.5000 0.5000
Ga1 Ga 0.0000 0.0000 0.0000
```

Calculated values
The value obtained for the total moment is 2.186 μB/f.u. Its symmetry is Pm-3m.


How far above the most stable structure does each one sit? In kJ/mol of atoms: model w 29.4; model x 0.0.


Model w:
Entry from Alexandria via LeMat-Bulk: a relaxed GaSeF crystal (PBE).

CIF file:
```
data_GaSeF
_chemical_formula_sum 'Ga2 Se2 F2'
_cell_length_a 3.8130
_cell_length_b 5.3993
_cell_length_c 9.0105
_cell_angle_alpha 88.02
_cell_angle_beta 77.79
_cell_angle_gamma 68.35
_symmetry_space_group_name_H-M 'P 1'
_symmetry_Int_Tables_number 1
_symmetry_space_group_name_Hall 'P 1'
loop_
_atom_site_label
_atom_site_type_symbol
_atom_site_fract_x
_atom_site_fract_y
_atom_site_fract_z
F1 F 0.2918 0.3916 0.1495
F2 F 0.0841 0.8612 0.0762
Ga1 Ga 0.3215 0.5322 0.9454
Ga2 Ga 0.0543 0.7206 0.2803
Se1 Se 0.9365 0.4550 0.7960
Se2 Se 0.4393 0.7981 0.4296
```

Calculated values
The value obtained for the total moment is 0.000 μB/f.u. Its symmetry is P-1.


Model x:
Entry from Alexandria via LeMat-Bulk: a relaxed GaSeF crystal (PBE).

CIF file:
```
data_GaSeF
_chemical_formula_sum 'Ga6 Se6 F6'
_cell_length_a 8.5282
_cell_length_b 8.5282
_cell_length_c 6.5290
_cell_angle_alpha 69.28
_cell_angle_beta 69.28
_cell_angle_gamma 100.46
_symmetry_space_group_name_H-M 'P 1'
_symmetry_Int_Tables_number 1
_symmetry_space_group_name_Hall 'P 1'
loop_
_atom_site_label
_atom_site_type_symbol
_atom_site_fract_x
_atom_site_fract_y
_atom_site_fract_z
F1 F 0.8490 0.6300 0.6607
F2 F 0.3700 0.1510 0.8393
F3 F 0.1510 0.3700 0.3393
F4 F 0.6300 0.8490 0.1607
F5 F 0.1721 0.8279 0.2500
F6 F 0.8279 0.1721 0.7500
Se1 Se 0.5029 0.7348 0.8458
Se2 Se 0.0690 0.9310 0.7500
Se3 Se 0.4971 0.2652 0.1542
Se4 Se 0.9310 0.0690 0.2500
Se5 Se 0.2652 0.4971 0.6542
Se6 Se 0.7348 0.5029 0.3458
Ga1 Ga 0.0829 0.2319 0.6748
Ga2 Ga 0.7681 0.9171 0.8252
Ga3 Ga 0.4648 0.5352 0.2500
Ga4 Ga 0.2319 0.0829 0.1748
Ga5 Ga 0.9171 0.7681 0.3252
Ga6 Ga 0.5352 0.4648 0.7500
```

Calculated values
The value obtained for the total moment is 0.000 μB/f.u. Its symmetry is C2/c.


Model y:
Entry from Alexandria via LeMat-Bulk: a relaxed GaSeF crystal (PBE).

CIF file:
```
data_GaSeF
_chemical_formula_sum 'Ga4 Se4 F4'
_cell_length_a 3.8355
_cell_length_b 5.3380
_cell_length_c 12.4461
_cell_angle_alpha 90.00
_cell_angle_beta 90.00
_cell_angle_gamma 90.00
_symmetry_space_group_name_H-M 'P 1'
_symmetry_Int_Tables_number 1
_symmetry_space_group_name_Hall 'P 1'
loop_
_atom_site_label
_atom_site_type_symbol
_atom_site_fract_x
_atom_site_fract_y
_atom_site_fract_z
Se1 Se 0.5000 0.3100 0.6467
Se2 Se 0.0000 0.8100 0.8533
Se3 Se 0.0000 0.1900 0.1467
Se4 Se 0.5000 0.6900 0.3533
F1 F 0.5000 0.7111 0.0791
F2 F 0.0000 0.2111 0.4209
F3 F 0.5000 0.2889 0.9209
F4 F 0.0000 0.7889 0.5791
Ga1 Ga 0.0000 0.9680 0.3205
Ga2 Ga 0.5000 0.4680 0.1795
Ga3 Ga 0.5000 0.5320 0.8205
Ga4 Ga 0.0000 0.0320 0.6795
```

Calculated values
The value obtained for the total moment is 0.000 μB/f.u. Its symmetry is Pnnm.


How far above the most stable structure does each one sit? In kJ/mol of atoms: model w 5.3; model x 11.0; model y 0.0.


Model w:
Entry from Alexandria via LeMat-Bulk: a relaxed GaSeF2 crystal (PBE).

CIF file:
```
data_GaSeF2
_chemical_formula_sum 'Ga1 Se1 F2'
_cell_length_a 9.5441
_cell_length_b 9.5441
_cell_length_c 9.5441
_cell_angle_alpha 17.71
_cell_angle_beta 17.71
_cell_angle_gamma 17.71
_symmetry_space_group_name_H-M 'P 1'
_symmetry_Int_Tables_number 1
_symmetry_space_group_name_Hall 'P 1'
loop_
_atom_site_label
_atom_site_type_symbol
_atom_site_fract_x
_atom_site_fract_y
_atom_site_fract_z
F1 F 0.9361 0.9361 0.9361
F2 F 0.0639 0.0639 0.0639
Se1 Se 0.5000 0.5000 0.5000
Ga1 Ga 0.0000 0.0000 0.0000
```

Calculated values
The value obtained for the total moment is 0.413 μB/f.u. Its symmetry is R-3m.


Model x:
Entry from Alexandria via LeMat-Bulk: a relaxed GaSeF2 crystal (PBE).

CIF file:
```
data_GaSeF2
_chemical_formula_sum 'Ga2 Se2 F4'
_cell_length_a 6.0979
_cell_length_b 6.0979
_cell_length_c 6.1501
_cell_angle_alpha 60.28
_cell_angle_beta 60.28
_cell_angle_gamma 90.00
_symmetry_space_group_name_H-M 'P 1'
_symmetry_Int_Tables_number 1
_symmetry_space_group_name_Hall 'P 1'
loop_
_atom_site_label
_atom_site_type_symbol
_atom_site_fract_x
_atom_site_fract_y
_atom_site_fract_z
F1 F 0.3749 0.6250 0.2500
F2 F 0.3750 0.6249 0.7500
F3 F 0.8750 0.6251 0.7500
F4 F 0.3751 0.1250 0.2500
Ga1 Ga 0.2500 0.7500 0.5000
Ga2 Ga 0.5000 0.5000 0.0000
Se1 Se 0.0000 0.0000 0.0000
Se2 Se 0.7500 0.2500 0.5000
```

Calculated values
The value obtained for the total moment is 1.195 μB/f.u. Its symmetry is I4_1/amd.


How far above the most stable structure does each one sit? In kJ/mol of atoms: model w 20.5; model x 0.0.


Model w:
Entry from Alexandria via LeMat-Bulk: a relaxed GaSeF2 crystal (PBE).

CIF file:
```
data_GaSeF2
_chemical_formula_sum 'Ga1 Se1 F2'
_cell_length_a 8.0092
_cell_length_b 8.0092
_cell_length_c 8.0092
_cell_angle_alpha 22.77
_cell_angle_beta 22.77
_cell_angle_gamma 22.77
_symmetry_space_group_name_H-M 'P 1'
_symmetry_Int_Tables_number 1
_symmetry_space_group_name_Hall 'P 1'
loop_
_atom_site_label
_atom_site_type_symbol
_atom_site_fract_x
_atom_site_fract_y
_atom_site_fract_z
F1 F 0.9142 0.9142 0.9142
F2 F 0.0858 0.0858 0.0858
Se1 Se 0.0000 0.0000 0.0000
Ga1 Ga 0.5000 0.5000 0.5000
```

Calculated values
The value obtained for the total moment is 0.041 μB/f.u. Its symmetry is R-3m.


Model x:
Entry from Alexandria via LeMat-Bulk: a relaxed GaSeF2 crystal (PBE).

CIF file:
```
data_GaSeF2
_chemical_formula_sum 'Ga1 Se1 F2'
_cell_length_a 4.4392
_cell_length_b 4.4392
_cell_length_c 4.4392
_cell_angle_alpha 60.00
_cell_angle_beta 60.00
_cell_angle_gamma 60.00
_symmetry_space_group_name_H-M 'P 1'
_symmetry_Int_Tables_number 1
_symmetry_space_group_name_Hall 'P 1'
loop_
_atom_site_label
_atom_site_type_symbol
_atom_site_fract_x
_atom_site_fract_y
_atom_site_fract_z
F1 F 0.7500 0.7500 0.7500
F2 F 0.2500 0.2500 0.2500
Se1 Se 0.5000 0.5000 0.5000
Ga1 Ga 0.0000 0.0000 0.0000
```

Calculated values
The value obtained for the total moment is 2.274 μB/f.u. Its symmetry is Fm-3m.


How far above the most stable structure does each one sit? In kJ/mol of atoms: model w 0.0; model x 42.8.


Model w:
Entry from Alexandria via LeMat-Bulk: a relaxed GaSe3F crystal (PBE).

CIF file:
```
data_GaSe3F
_chemical_formula_sum 'Ga1 Se3 F1'
_cell_length_a 4.7213
_cell_length_b 4.7213
_cell_length_c 4.7213
_cell_angle_alpha 90.00
_cell_angle_beta 90.00
_cell_angle_gamma 90.00
_symmetry_space_group_name_H-M 'P 1'
_symmetry_Int_Tables_number 1
_symmetry_space_group_name_Hall 'P 1'
loop_
_atom_site_label
_atom_site_type_symbol
_atom_site_fract_x
_atom_site_fract_y
_atom_site_fract_z
Se1 Se 0.5000 0.0000 0.0000
Se2 Se 0.0000 0.5000 0.0000
Se3 Se 0.0000 0.0000 0.5000
F1 F 0.0000 0.0000 0.0000
Ga1 Ga 0.5000 0.5000 0.5000
```

Calculated values
The value obtained for the total moment is 0.000 μB/f.u. Its symmetry is Pm-3m.


Model x:
Entry from Alexandria via LeMat-Bulk: a relaxed GaSe3F crystal (PBE).

CIF file:
```
data_GaSe3F
_chemical_formula_sum 'Ga1 Se3 F1'
_cell_length_a 4.9371
_cell_length_b 4.9371
_cell_length_c 4.9371
_cell_angle_alpha 90.00
_cell_angle_beta 90.00
_cell_angle_gamma 90.00
_symmetry_space_group_name_H-M 'P 1'
_symmetry_Int_Tables_number 1
_symmetry_space_group_name_Hall 'P 1'
loop_
_atom_site_label
_atom_site_type_symbol
_atom_site_fract_x
_atom_site_fract_y
_atom_site_fract_z
Se1 Se 0.0000 0.0000 0.5000
Se2 Se 0.5000 0.0000 0.0000
Se3 Se 0.0000 0.5000 0.0000
Ga1 Ga 0.0000 0.0000 0.0000
F1 F 0.5000 0.5000 0.5000
```

Calculated values
The value obtained for the total moment is 0.000 μB/f.u. Its symmetry is Pm-3m.


How far above the most stable structure does each one sit? In kJ/mol of atoms: model w 0.0; model x 4.7.